No. 1
# SrLaPCl

An optimized crystal structure of SrLaPCl (GGA-PBE, Alexandria).

Lattice parameters (Å, degrees): 4.2292 4.2292 22.5948 90.00 90.00 120.00
Atoms (fractional coordinates):
Sr (0.0000, 0.0000, 0.0000)
Sr (0.3333, 0.6667, 0.6667)
Sr (0.6667, 0.3333, 0.3333)
La (0.0000, 0.0000, 0.8088)
La (0.3333, 0.6667, 0.4755)
La (0.6667, 0.3333, 0.1421)
P (0.0000, 0.0000, 0.4077)
P (0.3333, 0.6667, 0.0744)
P (0.6667, 0.3333, 0.7410)
Cl (0.0000, 0.0000, 0.2339)
Cl (0.3333, 0.6667, 0.9005)
Cl (0.6667, 0.3333, 0.5672)

Values from the calculation:
Energy relative to the elements, uncorrected in meV/atom: -1598
Total DFT energy (no corrections) in eV/atom: -5.06
Density of states at the Fermi level in states/eV per atom: 0.636

***

No. 2
# RbPdNF2

An optimized crystal structure of RbPdNF2 (GGA-PBE, Alexandria).

Lattice parameters (Å, degrees): 4.2047 4.2047 5.2158 90.00 90.00 90.00
Atoms (fractional coordinates):
Rb (0.0000, 0.0000, 0.0000)
Pd (0.5000, 0.5000, 0.0000)
N (0.0000, 0.0000, 0.5000)
F (0.0000, 0.5000, 0.5000)
F (0.5000, 0.0000, 0.5000)

Values from the calculation:
Energy relative to the elements, uncorrected in meV/atom: 601
Total DFT energy (no corrections) in eV/atom: -3.05
Density of states at the Fermi level in states/eV per atom: 0.244
Energy above the most stable polymorph in this dataset in eV/atom: 1.477

***

No. 3
# NaCaPb2

An optimized crystal structure of NaCaPb2 (GGA-PBE, Alexandria).

Lattice parameters (Å, degrees): 3.8920 3.8920 7.7471 90.00 90.00 90.00
Atoms (fractional coordinates):
Na (0.0000, 0.0000, 0.0000)
Ca (0.0000, 0.0000, 0.5000)
Pb (0.5000, 0.5000, 0.2410)
Pb (0.5000, 0.5000, 0.7590)

Values from the calculation:
Total DFT energy (no corrections) in eV/atom: -3.01
Density of states at the Fermi level in states/eV per atom: 0.321
Energy above the most stable polymorph in this dataset in eV/atom: 0.015

***

No. 4
# Li3Mo

An optimized crystal structure of Li3Mo (GGA-PBE, Alexandria).

Lattice parameters (Å, degrees): 3.8797 3.8797 8.7666 90.00 90.00 90.00
Atoms (fractional coordinates):
Li (0.0000, 0.0000, 0.0000)
Li (0.0000, 0.5000, 0.2500)
Li (0.0000, 0.5000, 0.7500)
Li (0.5000, 0.0000, 0.2500)
Li (0.5000, 0.0000, 0.7500)
Li (0.5000, 0.5000, 0.5000)
Mo (0.0000, 0.0000, 0.5000)
Mo (0.5000, 0.5000, 0.0000)

Values from the calculation:
Total DFT energy (no corrections) in eV/atom: -3.40
Density of states at the Fermi level in states/eV per atom: 0.272
Energy above the most stable polymorph in this dataset in eV/atom: 0.507

***

No. 5
# ZrHN3

An optimized crystal structure of ZrHN3 (GGA-PBE, Alexandria).

Lattice parameters (Å, degrees): 3.3949 3.3949 3.3949 90.00 90.00 90.00
Atoms (fractional coordinates):
Zr (0.0000, 0.0000, 0.0000)
H (0.5000, 0.5000, 0.5000)
N (0.0000, 0.5000, 0.5000)
N (0.5000, 0.0000, 0.5000)
N (0.5000, 0.5000, 0.0000)

Values from the calculation:
Total DFT energy (no corrections) in eV/atom: -6.52
Density of states at the Fermi level in states/eV per atom: 0.459

***

No. 6
# Pm9MgAl2

An optimized crystal structure of Pm9MgAl2 (GGA-PBE, Alexandria).

Lattice parameters (Å, degrees): 4.9134 4.9134 14.7254 90.00 90.00 90.00
Atoms (fractional coordinates):
Pm (0.0000, 0.0000, 0.0000)
Pm (0.0000, 0.0000, 0.3352)
Pm (0.0000, 0.0000, 0.6648)
Pm (0.0000, 0.5000, 0.1737)
Pm (0.0000, 0.5000, 0.5000)
Pm (0.0000, 0.5000, 0.8263)
Pm (0.5000, 0.0000, 0.1737)
Pm (0.5000, 0.0000, 0.5000)
Pm (0.5000, 0.0000, 0.8263)
Mg (0.5000, 0.5000, 0.0000)
Al (0.5000, 0.5000, 0.3355)
Al (0.5000, 0.5000, 0.6645)

Values from the calculation:
Total DFT energy (no corrections) in eV/atom: -4.43
Density of states at the Fermi level in states/eV per atom: 1.683

***

No. 7
# NaLi2HoBr6

An optimized crystal structure of NaLi2HoBr6 (GGA-PBE, Alexandria).

Lattice parameters (Å, degrees): 7.6856 7.6856 7.6856 54.85 54.85 54.85
Atoms (fractional coordinates):
Na (0.0000, 0.0000, 0.0000)
Li (0.2999, 0.2999, 0.2999)
Li (0.8046, 0.8046, 0.8046)
Ho (0.4906, 0.4906, 0.4906)
Br (0.0780, 0.6877, 0.4311)
Br (0.2170, 0.5707, 0.8993)
Br (0.4311, 0.0780, 0.6877)
Br (0.5707, 0.8993, 0.2170)
Br (0.6877, 0.4311, 0.0780)
Br (0.8993, 0.2170, 0.5707)

Values from the calculation:
Energy relative to the elements, uncorrected in meV/atom: -1660
Total DFT energy (no corrections) in eV/atom: -3.64
Density of states at the Fermi level in states/eV per atom: 0.000

***

No. 8
# FeTeW

An optimized crystal structure of FeTeW (GGA-PBE, Alexandria).

Lattice parameters (Å, degrees): 3.4003 3.4003 5.4578 90.00 90.00 120.00
Atoms (fractional coordinates):
Fe (0.0000, 0.0000, 0.0000)
Te (0.6667, 0.3333, 0.3611)
W (0.3333, 0.6667, 0.7616)

Values from the calculation:
Energy relative to the elements, uncorrected in meV/atom: 620
Total DFT energy (no corrections) in eV/atom: -7.57
Density of states at the Fermi level in states/eV per atom: 0.554
Energy above the most stable polymorph in this dataset in eV/atom: 0.026